CePr4Er7 | PBE-GGA | optimized geometry

Results
For the energy relative to the elements, the calculation gives 106 meV per atom. As for the total energy: -4.6438 eV per atom.

```
CePr4Er7
1.0
6.0571 -1.3184 2.9372
1.2213 5.9763 2.5017
2.8622 -1.9462 11.4069
Er Pr Ce
7 4 1
direct
0.2770 0.8151 0.6194
0.9469 0.6776 0.3572
0.0531 0.3224 0.6428
0.1997 0.4896 0.0481
0.7230 0.1849 0.3806
0.5000 0.0000 0.0000
0.8003 0.5104 0.9519
0.3025 0.1710 0.3087
0.5305 0.6452 0.2836
0.6975 0.8290 0.6913
0.4695 0.3548 0.7164
0.0000 0.0000 0.0000
```

=====

CePr2Er | PBE-GGA | optimized geometry

Results
For the energy relative to the elements, the calculation gives 67 meV per atom. The value obtained for the energy above the most stable polymorph in this dataset is 0.00 eV per formula unit. As for the total energy: -4.9473 eV per atom.

```
CePr2Er
1.0
-2.1750 2.3112 1.7279
-1.5953 -0.9858 3.0889
7.8789 4.5350 7.6303
Pr Er Ce
2 1 1
direct
0.2504 0.2504 0.2487
0.0828 0.0828 0.7517
0.5000 0.5000 0.5001
0.6669 0.6669 0.9994
```

=====

CePr5Er | PBE-GGA | optimized geometry

Results
For the energy relative to the elements, the calculation gives 203 meV per atom. As for the total energy: -4.7104 eV per atom.

```
CePr5Er
1.0
8.7117 -4.6598 3.3131
-1.7697 8.5282 0.2532
3.2452 -2.0193 5.0199
Pr Ce Er
5 1 1
direct
0.5000 0.0000 0.0000
0.2568 0.7266 0.6424
0.7432 0.2734 0.3576
0.8268 0.7270 0.6434
0.1732 0.2730 0.3566
0.5000 0.5000 0.5000
0.0000 0.0000 0.0000
```

=====

Ce2Pr8Er | PBE-GGA | optimized geometry

Results
For the energy relative to the elements, the calculation gives 156 meV per atom. As for the total energy: -4.8140 eV per atom.

```
Ce2Pr8Er
1.0
-2.7223 -2.0575 4.5369
-5.0260 -4.4707 -5.0433
9.0721 -2.9294 0.5633
Pr Er Ce
8 1 2
direct
0.6393 0.8455 0.2786
0.0000 0.2957 0.0000
0.8433 0.8433 0.6866
0.3607 0.5670 0.7214
0.6393 0.4330 0.2786
0.1567 0.1567 0.3134
0.3607 0.1545 0.7214
0.0000 0.7043 0.0000
0.5000 0.0000 0.0000
0.2006 0.7006 0.4013
0.7994 0.2994 0.5987
```